Density functional theory data (PBE) for crystalline Er2Ga4Ge at its relaxed geometry.

Unit cell a=5.9882 b=5.9882 c=4.1432 alpha=90.00 beta=90.00 gamma=94.74
With the nearest neighbours (Å) after each atom.
Fractional positions:
Er 0.2503 0.2503 0.0000  2 Ge 2.90, 8 Ga 2.94-3.05
Er 0.7497 0.7497 0.0000  2 Ge 2.90, 8 Ga 2.94-3.05
Ga 0.0000 0.5000 0.5000  4 Ga 2.90, 2 Ge 2.99, 4 Er 3.02
Ga 0.2409 0.7591 0.0000  4 Ga 2.90, 4 Er 2.94-3.05, 2 Ge 3.08
Ga 0.5000 0.0000 0.5000  4 Ga 2.90, 2 Ge 2.99, 4 Er 3.02
Ga 0.7591 0.2409 0.0000  4 Ga 2.90, 4 Er 2.94-3.05, 2 Ge 3.08
Ge 0.5000 0.5000 0.5000  4 Er 2.90, 8 Ga 2.99-3.08

Computed properties:
Magnetization: 0.0 Bohr magnetons per cell
N(E_F): 0.421 states/eV/atom
Space group: No. 65
Raw total energy: -28.82 eV per formula unit
Calculated volume: 21.2 Å³ per atom

=====

Density functional theory data (PBE) for crystalline ErGaGe2 at its relaxed geometry.

Unit cell a=4.2750 b=4.2750 c=4.2970 alpha=90.00 beta=90.00 gamma=90.00
With the nearest neighbours (Å) after each atom.
Fractional positions:
Er 0.0000 0.0000 0.0000  4 Ga 3.02, 8 Ge 3.03
Ga 0.5000 0.5000 0.0000  4 Er 3.02, 8 Ge 3.03
Ge 0.0000 0.5000 0.5000  4 Ge 3.02, 4 Er 3.03, 4 Ga 3.03
Ge 0.5000 0.0000 0.5000  4 Ge 3.02, 4 Er 3.03, 4 Ga 3.03

Computed properties:
Magnetization: 0.0 Bohr magnetons per cell
N(E_F): 0.240 states/eV/atom
Space group: No. 123
ΔE to the lowest computed polymorph: 0 meV per atom
Raw total energy: -18.58 eV per formula unit
Calculated volume: 19.6 Å³ per atom

=====

Density functional theory data (PBE) for crystalline Er2Ga2GeIr5 at its relaxed geometry.

Unit cell a=9.6826 b=9.6826 c=3.5753 alpha=90.00 beta=90.00 gamma=90.00
With the nearest neighbours (Å) after each atom.
Fractional positions:
Er 0.1731 0.3269 0.0000  3 Ga 2.75-2.93, 2 Ir 2.97
Er 0.3269 0.8269 0.0000  3 Ga 2.75-2.93, 2 Ir 2.97
Er 0.6731 0.1731 0.0000  3 Ga 2.75-2.93, 2 Ir 2.97
Er 0.8269 0.6731 0.0000  3 Ga 2.75-2.93, 2 Ir 2.97
Ga 0.1259 0.6259 0.0000  6 Ir 2.48-2.52, 1 Er 2.75
Ga 0.3741 0.1259 0.0000  6 Ir 2.48-2.52, 1 Er 2.75
Ga 0.6259 0.8741 0.0000  6 Ir 2.48-2.52, 1 Er 2.75
Ga 0.8741 0.3741 0.0000  6 Ir 2.48-2.52, 1 Er 2.75
Ge 0.0000 0.0000 0.0000  8 Ir 2.72
Ge 0.5000 0.5000 0.0000  8 Ir 2.72
Ir 0.0000 0.5000 0.5000  4 Ga 2.48
Ir 0.0657 0.7984 0.5000  2 Ga 2.52, 2 Ge 2.72
Ir 0.2016 0.0657 0.5000  2 Ga 2.52, 2 Ge 2.72
Ir 0.2984 0.5657 0.5000  2 Ga 2.52, 2 Ge 2.72
Ir 0.4343 0.2984 0.5000  2 Ga 2.52, 2 Ge 2.72
Ir 0.5000 0.0000 0.5000  4 Ga 2.48
Ir 0.5657 0.7016 0.5000  2 Ga 2.52, 2 Ge 2.72
Ir 0.7016 0.4343 0.5000  2 Ga 2.52, 2 Ge 2.72
Ir 0.7984 0.9343 0.5000  2 Ga 2.52, 2 Ge 2.72
Ir 0.9343 0.2016 0.5000  2 Ga 2.52, 2 Ge 2.72

Computed properties:
Magnetization: 0.0 Bohr magnetons per cell
N(E_F): 0.346 states/eV/atom
Space group: No. 127
Raw total energy: -70.33 eV per formula unit
Calculated volume: 16.8 Å³ per atom

=====

Density functional theory data (PBE) for crystalline Er2GaGe3Ir4 at its relaxed geometry.

Unit cell a=4.1698 b=4.1698 c=10.3352 alpha=90.00 beta=90.00 gamma=90.00
With the nearest neighbours (Å) after each atom.
Fractional positions:
Er 0.0000 0.5000 0.2482  6 Ge 3.18-3.33, 8 Ir 3.19-3.31, 2 Ga 3.33
Er 0.5000 0.0000 0.7518  6 Ge 3.18-3.33, 8 Ir 3.19-3.31, 2 Ga 3.33
Ga 0.0000 0.0000 0.5000  4 Ir 2.51
Ge 0.0000 0.5000 0.8678  5 Ir 2.41-2.49
Ge 0.5000 0.0000 0.1322  5 Ir 2.41-2.49
Ge 0.5000 0.5000 0.5000  4 Ir 2.51
Ir 0.0000 0.0000 0.0000  4 Ge 2.49
Ir 0.0000 0.5000 0.6351  3 Ge 2.41-2.51, 2 Ga 2.51
Ir 0.5000 0.0000 0.3649  3 Ge 2.41-2.51, 2 Ga 2.51
Ir 0.5000 0.5000 0.0000  4 Ge 2.49

Computed properties:
Magnetization: 0.0 Bohr magnetons per cell
N(E_F): 0.605 states/eV/atom
Space group: No. 115
Raw total energy: -68.92 eV per formula unit
Calculated volume: 18.0 Å³ per atom